Record 1
This record from the Alexandria database describes a relaxed structure of La2ZrSi. The functional is PBE.

Summary:
As for the density of states at the Fermi level: 4.45 states/eV/cell. The calculation puts the formation energy from raw total energies at -0.14 eV/atom. As for the space-group type: I-4m2, No. 119. Its total energy is -6.10 eV per atom.

a = 5.749 Å, b = 5.749 Å, c = 5.749 Å
α = 132.51°, β = 132.51°, γ = 69.42°
Sites, in units of the cell vectors:
1 La 0.000 0.000 0.000
2 La 0.750 0.250 0.500
3 Zr 0.500 0.500 0.000
4 Si 0.250 0.750 0.500



Record 2
This record from the Alexandria database describes a relaxed structure of LaZrSi2. The functional is PBE.

Summary:
As for the density of states at the Fermi level: 3.06 states/eV/cell. The calculation puts the formation energy from raw total energies at -0.49 eV/atom. As for the space-group type: Imm2, No. 44. The polymorph energy (0 for the lowest one) is 103 meV per atom. Its total energy is -6.57 eV per atom.

a = 6.766 Å, b = 6.766 Å, c = 6.766 Å
α = 148.90°, β = 145.01°, γ = 47.51°
Sites, in units of the cell vectors:
1 La 0.000 0.000 0.000
2 Zr 0.266 0.766 0.500
3 Si 0.614 0.614 0.000
4 Si 0.754 0.254 0.500



Record 3
This record from the Alexandria database describes a relaxed structure of LaZr2Si. The functional is PBE.

Summary:
As for the density of states at the Fermi level: 9.28 states/eV/cell. The calculation puts the formation energy from raw total energies at 0.06 eV/atom. As for the space-group type: I-42d, No. 122. Its total energy is -6.81 eV per atom.

a = 10.562 Å, b = 10.562 Å, c = 10.562 Å
α = 156.09°, β = 156.09°, γ = 34.06°
Sites, in units of the cell vectors:
1 La 0.000 0.000 0.000
2 La 0.750 0.250 0.500
3 Zr 0.149 0.625 0.024
4 Zr 0.375 0.399 0.524
5 Zr 0.601 0.125 0.976
6 Zr 0.875 0.851 0.476
7 Si 0.250 0.750 0.500
8 Si 0.500 0.500 0.000



Record 4
This record from the Alexandria database describes a relaxed structure of LaZrSi2. The functional is PBE.

Summary:
As for the density of states at the Fermi level: 2.93 states/eV/cell. The calculation puts the formation energy from raw total energies at -0.59 eV/atom. As for the space-group type: P4/mmm, No. 123. The polymorph energy (0 for the lowest one) is 0 meV per atom. Its total energy is -6.67 eV per atom.

a = 3.657 Å, b = 3.657 Å, c = 6.378 Å
α = 90.00°, β = 90.00°, γ = 90.00°
Sites, in units of the cell vectors:
1 La 0.000 0.000 0.000
2 Zr 0.000 0.000 0.500
3 Si 0.500 0.500 0.309
4 Si 0.500 0.500 0.691



Record 5
This record from the Alexandria database describes a relaxed structure of La2ZrSi2. The functional is PBE.

Summary:
As for the density of states at the Fermi level: 7.40 states/eV/cell. The calculation puts the formation energy from raw total energies at -0.59 eV/atom. As for the space-group type: P4/mbm, No. 127. The polymorph energy (0 for the lowest one) is 0 meV per atom. Its total energy is -6.44 eV per atom.

a = 7.432 Å, b = 7.432 Å, c = 4.517 Å
α = 90.00°, β = 90.00°, γ = 90.00°
Sites, in units of the cell vectors:
1 La 0.178 0.322 0.000
2 La 0.322 0.822 0.000
3 La 0.678 0.178 0.000
4 La 0.822 0.678 0.000
5 Zr 0.000 0.000 0.500
6 Zr 0.500 0.500 0.500
7 Si 0.121 0.621 0.500
8 Si 0.379 0.121 0.500
9 Si 0.621 0.879 0.500
10 Si 0.879 0.379 0.500



Record 6
This record from the Alexandria database describes a relaxed structure of LaZr2Si. The functional is PBE.

Summary:
As for the density of states at the Fermi level: 3.13 states/eV/cell. The calculation puts the formation energy from raw total energies at -0.13 eV/atom. As for the space-group type: I4/mmm, No. 139. Its total energy is -6.99 eV per atom.

a = 5.495 Å, b = 5.495 Å, c = 5.495 Å
α = 132.00°, β = 132.00°, γ = 70.23°
Sites, in units of the cell vectors:
1 La 0.000 0.000 0.000
2 Zr 0.250 0.750 0.500
3 Zr 0.750 0.250 0.500
4 Si 0.500 0.500 0.000



Record 7
This record from the Alexandria database describes a relaxed structure of LaZrSi2. The functional is PBE.

Summary:
As for the density of states at the Fermi level: 3.62 states/eV/cell. The calculation puts the formation energy from raw total energies at -0.28 eV/atom. As for the space-group type: P4/mmm, No. 123. The polymorph energy (0 for the lowest one) is 311 meV per atom. Its total energy is -6.36 eV per atom.

a = 4.581 Å, b = 4.581 Å, c = 4.075 Å
α = 90.00°, β = 90.00°, γ = 90.00°
Sites, in units of the cell vectors:
1 La 0.000 0.000 0.000
2 Zr 0.500 0.500 0.000
3 Si 0.000 0.500 0.500
4 Si 0.500 0.000 0.500



Record 8
This record from the Alexandria database describes a relaxed structure of LaZr2Si. The functional is PBE.

Summary:
As for the density of states at the Fermi level: 3.50 states/eV/cell. The calculation puts the formation energy from raw total energies at -0.25 eV/atom. As for the space-group type: P4/mmm, No. 123. Its total energy is -7.11 eV per atom.

a = 3.564 Å, b = 3.564 Å, c = 7.242 Å
α = 90.00°, β = 90.00°, γ = 90.00°
Sites, in units of the cell vectors:
1 La 0.000 0.000 0.000
2 Zr 0.500 0.500 0.310
3 Zr 0.500 0.500 0.690
4 Si 0.000 0.000 0.500



Record 9
This record from the Alexandria database describes a relaxed structure of La2ZrSi. The functional is PBE.

Summary:
As for the density of states at the Fermi level: 6.04 states/eV/cell. The calculation puts the formation energy from raw total energies at -0.10 eV/atom. As for the space-group type: P4/mmm, No. 123. Its total energy is -6.06 eV per atom.

a = 4.007 Å, b = 4.007 Å, c = 6.793 Å
α = 90.00°, β = 90.00°, γ = 90.00°
Sites, in units of the cell vectors:
1 La 0.000 0.000 0.219
2 La 0.000 0.000 0.781
3 Zr 0.500 0.500 0.500
4 Si 0.500 0.500 0.000



Record 10
This record from the Alexandria database describes a relaxed structure of LaZrSi. The functional is PBE.

Summary:
As for the density of states at the Fermi level: 3.01 states/eV/cell. The calculation puts the formation energy from raw total energies at -0.17 eV/atom. As for the space-group type: P3m1, No. 156. The polymorph energy (0 for the lowest one) is 418 meV per atom. Its total energy is -6.47 eV per atom.

a = 3.908 Å, b = 3.908 Å, c = 6.217 Å
α = 90.00°, β = 90.00°, γ = 120.00°
Sites, in units of the cell vectors:
1 La 0.000 0.000 0.000
2 Zr 0.667 0.333 0.537
3 Si 0.333 0.667 0.316



Record 11
This record from the Alexandria database describes a relaxed structure of LaZrSi. The functional is PBE.

Summary:
As for the density of states at the Fermi level: 7.40 states/eV/cell. The calculation puts the formation energy from raw total energies at -0.59 eV/atom. As for the space-group type: P4/nmm, No. 129. The polymorph energy (0 for the lowest one) is 0 meV per atom. Its total energy is -6.89 eV per atom.

a = 4.304 Å, b = 4.304 Å, c = 8.087 Å
α = 90.00°, β = 90.00°, γ = 90.00°
Sites, in units of the cell vectors:
1 La 0.250 0.250 0.144
2 La 0.750 0.750 0.856
3 Zr 0.250 0.750 0.500
4 Zr 0.750 0.250 0.500
5 Si 0.250 0.250 0.732
6 Si 0.750 0.750 0.268



Record 12
This record from the Alexandria database describes a relaxed structure of La5ZrSi4. The functional is PBE.

Summary:
As for the density of states at the Fermi level: 6.87 states/eV/cell. The calculation puts the formation energy from raw total energies at -0.43 eV/atom. As for the space-group type: C2/m, No. 12. Its total energy is -5.91 eV per atom.

a = 9.690 Å, b = 9.690 Å, c = 7.798 Å
α = 111.67°, β = 111.67°, γ = 25.71°
Sites, in units of the cell vectors:
1 La 0.000 0.000 0.000
2 La 0.332 0.332 0.102
3 La 0.337 0.337 0.626
4 La 0.663 0.663 0.374
5 La 0.668 0.668 0.898
6 Zr 0.000 0.000 0.500
7 Si 0.172 0.172 0.646
8 Si 0.497 0.497 0.272
9 Si 0.503 0.503 0.728
10 Si 0.828 0.828 0.354